A plane-wave DFT calculation with GGA-PBEsol was carried out for an optimized crystal structure of BeP2AuS.

Lattice parameters (Å, degrees): 4.6979 4.6979 4.8695 90.00 90.00 90.00
Space group P4/mmm (No. 123)
Asymmetric unit:
Be  0.0000  0.0000  0.0000
P  0.0000  0.5000  0.5000
Au  0.5000  0.5000  0.5000
S  0.5000  0.5000  0.0000

Computed properties:
The raw total energy comes out at -3.371 eV/atom. The energy relative to the elements, uncorrected comes out at 1.41 eV per atom.

=====

A plane-wave DFT calculation with GGA-PBEsol was carried out for an optimized crystal structure of Zr2N2O.

Lattice parameters (Å, degrees): 5.4560 5.6862 15.9291 89.99 89.97 89.76
Space group P1 (No. 1)
Asymmetric unit:
Zr  0.0000  0.0000  0.0000
Zr  0.0021  0.0444  0.2403
Zr  0.0054  0.9956  0.4993
Zr  0.0221  0.5476  0.8874
Zr  0.0247  0.4492  0.3911
Zr  0.0313  0.5113  0.6248
Zr  0.0466  0.4828  0.1200
Zr  0.5045  0.0025  0.1271
Zr  0.5056  0.0080  0.6251
Zr  0.5140  0.0510  0.8883
Zr  0.5217  0.9492  0.3849
Zr  0.5344  0.4968  0.4988
Zr  0.5404  0.5046  0.0008
Zr  0.5395  0.5442  0.2379
Zr  0.5509  0.4510  0.7421
Zr  0.9877  0.9519  0.7425
N  0.1795  0.3482  0.5130
N  0.1847  0.6537  0.0130
N  0.3119  0.2782  0.1916
N  0.3482  0.1576  0.0144
N  0.3567  0.8464  0.5150
N  0.6441  0.0836  0.7615
N  0.6544  0.9134  0.2616
N  0.6739  0.3664  0.6126
N  0.6812  0.6359  0.1136
N  0.7232  0.7784  0.9331
N  0.7248  0.2220  0.4329
N  0.8132  0.2790  0.9343
N  0.8148  0.7196  0.4346
N  0.8576  0.1392  0.1131
N  0.8649  0.8669  0.6135
N  0.8936  0.5833  0.7608
O  0.1651  0.0769  0.3600
O  0.1648  0.9194  0.8597
O  0.2117  0.7700  0.1902
O  0.2134  0.2187  0.6872
O  0.3238  0.7193  0.6885
O  0.3700  0.5820  0.3583
O  0.3717  0.4188  0.8583
O  0.8793  0.4076  0.2658

Computed properties:
The raw total energy comes out at -10.259 eV/atom. The energy relative to the elements, uncorrected comes out at -2.16 eV per atom.

=====

| no. | N(E_F) (states/eV per cell) |
| --- | --- |
| 1 | 4.7 |
| 2 | 0.0 |